Arrangement a

# PbAuCl2 (PBE-GGA, relaxed)
data_PbAuCl2
_chemical_formula_sum 'Pb2 Au2 Cl4'
_space_group_name_H-M_alt 'C m m m'
_space_group_IT_number 65
_space_group_name_Hall '-C 2 2'
_cell_length_a 3.7009
_cell_length_b 6.3000
_cell_length_c 8.6409
_cell_angle_alpha 90.00
_cell_angle_beta 90.00
_cell_angle_gamma 90.00
loop_
_atom_site_label
_atom_site_fract_x
_atom_site_fract_y
_atom_site_fract_z
Pb1 0.0000 0.0000 0.0000
Au1 0.0000 0.0000 0.5000
Cl1 0.0000 0.5000 0.2866
# volume: 25.18 Å³/atom
# M_tot: 0.000 μB/cell



Arrangement b

# PbAuCl2 (PBE-GGA, relaxed)
data_PbAuCl2
_chemical_formula_sum 'Pb2 Au2 Cl4'
_space_group_name_H-M_alt 'I -4 m 2'
_space_group_IT_number 119
_space_group_name_Hall 'I -4 -2'
_cell_length_a 4.2559
_cell_length_b 4.2559
_cell_length_c 10.5696
_cell_angle_alpha 90.00
_cell_angle_beta 90.00
_cell_angle_gamma 90.00
loop_
_atom_site_label
_atom_site_fract_x
_atom_site_fract_y
_atom_site_fract_z
Pb1 0.0000 0.0000 0.0000
Au1 0.0000 0.5000 0.7500
Cl1 0.0000 0.0000 0.5000
Cl2 0.0000 0.5000 0.2500
# volume: 23.93 Å³/atom
# M_tot: 0.000 μB/cell



Arrangement c

# PbAuCl2 (PBE-GGA, relaxed)
data_PbAuCl2
_chemical_formula_sum 'Pb1 Au1 Cl2'
_space_group_name_H-M_alt 'P 4/m m m'
_space_group_IT_number 123
_space_group_name_Hall '-P 4 2'
_cell_length_a 4.8002
_cell_length_b 4.8002
_cell_length_c 4.1406
_cell_angle_alpha 90.00
_cell_angle_beta 90.00
_cell_angle_gamma 90.00
loop_
_atom_site_label
_atom_site_fract_x
_atom_site_fract_y
_atom_site_fract_z
Pb1 0.0000 0.0000 0.0000
Au1 0.5000 0.5000 0.0000
Cl1 0.0000 0.5000 0.5000
# volume: 23.85 Å³/atom
# M_tot: 0.000 μB/cell



Arrangement d

# PbAuCl2 (PBE-GGA, relaxed)
data_PbAuCl2
_chemical_formula_sum 'Pb4 Au4 Cl8'
_space_group_name_H-M_alt 'F m -3 m'
_space_group_IT_number 225
_space_group_name_Hall '-F 4 2 3'
_cell_length_a 7.2615
_cell_length_b 7.2615
_cell_length_c 7.2615
_cell_angle_alpha 90.00
_cell_angle_beta 90.00
_cell_angle_gamma 90.00
loop_
_atom_site_label
_atom_site_fract_x
_atom_site_fract_y
_atom_site_fract_z
Pb1 0.0000 0.0000 0.0000
Au1 0.0000 0.0000 0.5000
Cl1 0.2500 0.2500 0.2500
# volume: 23.93 Å³/atom
# M_tot: 0.000 μB/cell



Q: Which of them is the most stable? A: arrangement d.